Density functional theory data (PBE-GGA) for an optimized crystal structure of Ac2Sn3.

Values from the calculation:
VASP energy: -4.70 eV/atom
total magnetic moment: 0.000 μB per formula unit

Cell lengths 8.305, 8.305, 4.880 Å; angles 90.00, 90.00, 90.00 degrees
Space group P4/mbm (No. 127)
Unique sites:
Ac 0.178 0.322 0.000 (multiplicity 4)
Sn 0.000 0.000 0.500 (multiplicity 2)
Sn 0.125 0.625 0.500 (multiplicity 4)


Density functional theory data (PBE-GGA) for an optimized crystal structure of Ac5Sn.

Values from the calculation:
ΔE to the lowest computed polymorph: 8.1 meV per atom
total magnetic moment: 0.000 μB per formula unit

Cell lengths 13.322, 4.356, 9.314 Å; angles 90.00, 111.55, 90.00 degrees
Space group C2/m (No. 12)
Unique sites:
Ac 0.000 0.000 0.000 (multiplicity 2)
Ac 0.143 0.500 0.360 (multiplicity 4)
Ac 0.165 0.500 0.800 (multiplicity 4)
Sn 0.000 0.000 0.500 (multiplicity 2)


Density functional theory data (PBE-GGA) for an optimized crystal structure of AcSn2.

Values from the calculation:
ΔE to the lowest computed polymorph: 0.0 meV per atom
total magnetic moment: 0.000 μB per formula unit

Cell lengths 4.645, 17.149, 4.857 Å; angles 90.00, 90.00, 90.00 degrees
Space group Cmmm (No. 65)
Unique sites:
Ac 0.000 0.145 0.000 (multiplicity 4)
Sn 0.000 0.000 0.500 (multiplicity 2)
Sn 0.000 0.310 0.500 (multiplicity 4)
Sn 0.000 0.500 0.000 (multiplicity 2)


Density functional theory data (PBE-GGA) for an optimized crystal structure of AcSn2.

Values from the calculation:
ΔE to the lowest computed polymorph: 138.7 meV per atom
total magnetic moment: 0.000 μB per formula unit

Cell lengths 9.056, 9.056, 9.056 Å; angles 90.00, 90.00, 90.00 degrees
Space group Fd-3m (No. 227, origin choice 2)
Unique sites:
Ac 0.125 0.125 0.125 (multiplicity 8)
Sn 0.000 0.000 0.500 (multiplicity 16)


Density functional theory data (PBE-GGA) for an optimized crystal structure of AcSn4.

Values from the calculation:
ΔE to the lowest computed polymorph: 1214.5 meV per atom
total magnetic moment: 0.000 μB per formula unit

Cell lengths 6.152, 6.152, 6.152 Å; angles 90.00, 90.00, 90.00 degrees
Space group Pm-3m (No. 221)
Unique sites:
Ac 0.000 0.000 0.000 (multiplicity 1)
Sn 0.000 0.000 0.500 (multiplicity 3)
Sn 0.500 0.500 0.500 (multiplicity 1)


Density functional theory data (PBE-GGA) for an optimized crystal structure of AcSn2.

Values from the calculation:
ΔE to the lowest computed polymorph: 144.5 meV per atom
total magnetic moment: 0.000 μB per formula unit

Cell lengths 4.019, 4.143, 11.429 Å; angles 90.00, 90.00, 90.00 degrees
Space group Pmmm (No. 47)
Unique sites:
Ac 0.000 0.000 0.188 (multiplicity 2)
Sn 0.000 0.000 0.500 (multiplicity 1)
Sn 0.500 0.500 0.000 (multiplicity 1)
Sn 0.500 0.500 0.369 (multiplicity 2)


Density functional theory data (PBE-GGA) for an optimized crystal structure of AcSn3.

Values from the calculation:
VASP energy: -4.45 eV/atom
total magnetic moment: 0.000 μB per formula unit

Cell lengths 4.883, 4.883, 10.065 Å; angles 90.00, 90.00, 90.00 degrees
Space group I4/mmm (No. 139)
Unique sites:
Ac 0.000 0.000 0.000 (multiplicity 2)
Sn 0.000 0.000 0.500 (multiplicity 2)
Sn 0.000 0.500 0.250 (multiplicity 4)


Density functional theory data (PBE-GGA) for an optimized crystal structure of Ac6Sn5.

Values from the calculation:
VASP energy: -4.63 eV/atom
total magnetic moment: 0.000 μB per formula unit

Cell lengths 5.920, 7.706, 17.852 Å; angles 90.00, 90.00, 90.00 degrees
Space group Immm (No. 71)
Unique sites:
Ac 0.000 0.236 0.000 (multiplicity 4)
Ac 0.000 0.256 0.330 (multiplicity 8)
Sn 0.000 0.000 0.169 (multiplicity 4)
Sn 0.000 0.500 0.155 (multiplicity 4)
Sn 0.000 0.500 0.500 (multiplicity 2)


Density functional theory data (PBE-GGA) for an optimized crystal structure of Ac7Sn3.

Values from the calculation:
VASP energy: -4.55 eV/atom
total magnetic moment: 0.000 μB per formula unit

Cell lengths 11.4969, 11.4969, 7.0144 Å; angles 90.00, 90.00, 120.00 degrees
Space group P6_3mc (No. 186)
Unique sites:
Ac 0.0642 0.5321 0.0000 (multiplicity 6)
Ac 0.1246 0.2493 0.7572 (multiplicity 6)
Ac 0.3333 0.6667 0.5723 (multiplicity 2)
Sn 0.1926 0.3853 0.2966 (multiplicity 6)


Density functional theory data (PBE-GGA) for an optimized crystal structure of AcSn3.

Values from the calculation:
VASP energy: -4.49 eV/atom
total magnetic moment: 0.000 μB per formula unit

Cell lengths 4.641, 24.393, 4.496 Å; angles 90.00, 90.00, 90.00 degrees
Space group Cmcm (No. 63)
Unique sites:
Ac 0.000 0.082 0.250 (multiplicity 4)
Sn 0.000 0.192 0.750 (multiplicity 4)
Sn 0.000 0.311 0.750 (multiplicity 4)
Sn 0.000 0.461 0.250 (multiplicity 4)


Density functional theory data (PBE-GGA) for an optimized crystal structure of AcSn3.

Values from the calculation:
VASP energy: -4.22 eV/atom
total magnetic moment: 0.000 μB per formula unit

Cell lengths 4.676, 4.676, 12.783 Å; angles 90.00, 90.00, 90.00 degrees
Space group I4/mmm (No. 139)
Unique sites:
Ac 0.000 0.000 0.000 (multiplicity 2)
Sn 0.000 0.000 0.275 (multiplicity 4)
Sn 0.000 0.000 0.500 (multiplicity 2)


Density functional theory data (PBE-GGA) for an optimized crystal structure of AcSn3.

Values from the calculation:
VASP energy: -4.54 eV/atom
total magnetic moment: 0.000 μB per formula unit

Cell lengths 4.919, 4.919, 4.919 Å; angles 90.00, 90.00, 90.00 degrees
Space group Pm-3m (No. 221)
Unique sites:
Ac 0.000 0.000 0.000 (multiplicity 1)
Sn 0.000 0.500 0.500 (multiplicity 3)


Look up the total magnetic moment of the eleventh one.
0.000 μB per formula unit


Repeat the eighth record exactly.
Density functional theory data (PBE-GGA) for an optimized crystal structure of Ac6Sn5.

Values from the calculation:
VASP energy: -4.63 eV/atom
total magnetic moment: 0.000 μB per formula unit

Cell lengths 5.920, 7.706, 17.852 Å; angles 90.00, 90.00, 90.00 degrees
Space group Immm (No. 71)
Unique sites:
Ac 0.000 0.236 0.000 (multiplicity 4)
Ac 0.000 0.256 0.330 (multiplicity 8)
Sn 0.000 0.000 0.169 (multiplicity 4)
Sn 0.000 0.500 0.155 (multiplicity 4)
Sn 0.000 0.500 0.500 (multiplicity 2)


Which value of total magnetic moment does entry 10 give?
0.000 μB per formula unit